[1]
A plane-wave DFT calculation with PBE was carried out for an optimized crystal structure of MnNb2TcPd.

Properties
Total energy, hartree per atom: -0.2720
ΔH_f (0 K), meV per atom: 1571.2
DOS at the Fermi energy, states/eV/cell: 8.167
Symmetry: No. 123

a = 4.692 Å, b = 4.692 Å, c = 4.826 Å
α = 90.00°, β = 90.00°, γ = 90.00°
Element x y z (fractional)
Mn: 0.000 0.000 0.000
Nb: 0.000 0.500 0.500
Nb: 0.500 0.000 0.500
Tc: 0.500 0.500 0.500
Pd: 0.500 0.500 0.000

[2]
A plane-wave DFT calculation with PBE was carried out for an optimized crystal structure of MnNbTePd2.

Properties
Total energy, hartree per atom: -0.2179
Offset from the most stable computed form, meV/atom: 0
DOS at the Fermi energy, states/eV/cell: 3.159
E_form (uncorrected), meV/atom: 625
Symmetry: No. 123

a = 4.757 Å, b = 4.757 Å, c = 4.487 Å
α = 90.00°, β = 90.00°, γ = 90.00°
Element x y z (fractional)
Mn: 0.000 0.000 0.000
Nb: 0.000 0.000 0.500
Te: 0.500 0.500 0.500
Pd: 0.000 0.500 0.000
Pd: 0.500 0.000 0.000

[3]
A plane-wave DFT calculation with PBE was carried out for an optimized crystal structure of MnNbTePd2.

Properties
Total energy, hartree per atom: -0.1959
Offset from the most stable computed form, meV/atom: 597
DOS at the Fermi energy, states/eV/cell: 12.432
E_form (uncorrected), meV/atom: 1222
Symmetry: No. 123

a = 4.826 Å, b = 4.826 Å, c = 4.629 Å
α = 90.00°, β = 90.00°, γ = 90.00°
Element x y z (fractional)
Mn: 0.000 0.000 0.000
Nb: 0.500 0.500 0.000
Te: 0.000 0.000 0.500
Pd: 0.000 0.500 0.500
Pd: 0.500 0.000 0.500

[4]
A plane-wave DFT calculation with PBE was carried out for an optimized crystal structure of TiMnNbPd.

Properties
Total energy, hartree per atom: -0.3028
ΔH_f (0 K), meV per atom: -159.1
DOS at the Fermi energy, states/eV/cell: 3.847
Symmetry: No. 216

a = 4.416 Å, b = 4.416 Å, c = 4.416 Å
α = 60.00°, β = 60.00°, γ = 60.00°
Element x y z (fractional)
Ti: 0.000 0.000 0.000
Mn: 0.750 0.750 0.750
Nb: 0.500 0.500 0.500
Pd: 0.250 0.250 0.250

[5]
A plane-wave DFT calculation with PBE was carried out for an optimized crystal structure of MnNbVPd2.

Properties
Total energy, hartree per atom: -0.2511
ΔH_f (0 K), meV per atom: 915.9
DOS at the Fermi energy, states/eV/cell: 7.060
Symmetry: No. 123

a = 4.660 Å, b = 4.660 Å, c = 4.363 Å
α = 90.00°, β = 90.00°, γ = 90.00°
Element x y z (fractional)
Mn: 0.000 0.000 0.000
Nb: 0.000 0.000 0.500
V: 0.500 0.500 0.500
Pd: 0.000 0.500 0.000
Pd: 0.500 0.000 0.000

[6]
A plane-wave DFT calculation with PBE was carried out for an optimized crystal structure of Mn2NbZnPd.

Properties
Total energy, hartree per atom: -0.2106
ΔH_f (0 K), meV per atom: 1243.9
DOS at the Fermi energy, states/eV/cell: 6.544
Symmetry: No. 123

a = 4.308 Å, b = 4.308 Å, c = 4.404 Å
α = 90.00°, β = 90.00°, γ = 90.00°
Element x y z (fractional)
Mn: 0.000 0.500 0.000
Mn: 0.500 0.000 0.000
Nb: 0.000 0.000 0.500
Zn: 0.500 0.500 0.000
Pd: 0.500 0.500 0.500

[7]
A plane-wave DFT calculation with PBE was carried out for an optimized crystal structure of PmMn4Nb.

Properties
Total energy, hartree per atom: -0.3083
ΔH_f (0 K), meV per atom: 193.3
DOS at the Fermi energy, states/eV/cell: 8.385
Symmetry: No. 216

a = 5.025 Å, b = 5.025 Å, c = 5.025 Å
α = 60.00°, β = 60.00°, γ = 60.00°
Element x y z (fractional)
Pm: 0.000 0.000 0.000
Mn: 0.127 0.624 0.624
Mn: 0.624 0.127 0.624
Mn: 0.624 0.624 0.127
Mn: 0.624 0.624 0.624
Nb: 0.250 0.250 0.250

[8]
A plane-wave DFT calculation with PBE was carried out for an optimized crystal structure of MnNbPt3.

Properties
Total energy, hartree per atom: -0.2831
ΔH_f (0 K), meV per atom: -230.7
Offset from the most stable computed form, meV/atom: 0
DOS at the Fermi energy, states/eV/cell: 8.193
Symmetry: No. 59

a = 4.474 Å, b = 5.393 Å, c = 7.054 Å
α = 90.00°, β = 90.00°, γ = 90.00°
Element x y z (fractional)
Mn: 0.250 0.250 0.184
Mn: 0.750 0.750 0.816
Nb: 0.250 0.750 0.262
Nb: 0.750 0.250 0.738
Pt: 0.250 0.250 0.527
Pt: 0.250 0.505 0.875
Pt: 0.250 0.995 0.875
Pt: 0.750 0.005 0.125
Pt: 0.750 0.495 0.125
Pt: 0.750 0.750 0.473

[9]
A plane-wave DFT calculation with PBE was carried out for an optimized crystal structure of Mn4NbPt5.

Properties
Total energy, hartree per atom: -0.2983
ΔH_f (0 K), meV per atom: -422.8
DOS at the Fermi energy, states/eV/cell: 5.242
Symmetry: No. 123

a = 2.904 Å, b = 2.904 Å, c = 18.246 Å
α = 90.00°, β = 90.00°, γ = 90.00°
Element x y z (fractional)
Mn: 0.000 0.000 0.097
Mn: 0.000 0.000 0.292
Mn: 0.000 0.000 0.708
Mn: 0.000 0.000 0.903
Nb: 0.000 0.000 0.500
Pt: 0.500 0.500 0.000
Pt: 0.500 0.500 0.194
Pt: 0.500 0.500 0.393
Pt: 0.500 0.500 0.607
Pt: 0.500 0.500 0.806

[10]
A plane-wave DFT calculation with PBE was carried out for an optimized crystal structure of Mn4NbPt.

Properties
Total energy, hartree per atom: -0.3291
ΔH_f (0 K), meV per atom: -157.0
DOS at the Fermi energy, states/eV/cell: 5.952
Symmetry: No. 216

a = 4.763 Å, b = 4.763 Å, c = 4.763 Å
α = 60.00°, β = 60.00°, γ = 60.00°
Element x y z (fractional)
Mn: 0.379 0.379 0.379
Mn: 0.379 0.379 0.864
Mn: 0.379 0.864 0.379
Mn: 0.864 0.379 0.379
Nb: 0.000 0.000 0.000
Pt: 0.750 0.750 0.750

[11]
A plane-wave DFT calculation with PBE was carried out for an optimized crystal structure of Mn2NbPt8.

Properties
Total energy, hartree per atom: -0.2724
ΔH_f (0 K), meV per atom: -435.6
DOS at the Fermi energy, states/eV/cell: 9.431
Symmetry: No. 12

a = 7.366 Å, b = 7.366 Å, c = 6.312 Å
α = 106.12°, β = 106.12°, γ = 31.36°
Element x y z (fractional)
Mn: 0.223 0.223 0.145
Mn: 0.777 0.777 0.855
Nb: 0.500 0.500 0.500
Pt: 0.045 0.045 0.227
Pt: 0.138 0.138 0.687
Pt: 0.318 0.318 0.584
Pt: 0.401 0.401 0.049
Pt: 0.599 0.599 0.951
Pt: 0.682 0.682 0.416
Pt: 0.862 0.862 0.313
Pt: 0.955 0.955 0.773

[12]
A plane-wave DFT calculation with PBE was carried out for an optimized crystal structure of MnNb2Pt8.

Properties
Total energy, hartree per atom: -0.2771
ΔH_f (0 K), meV per atom: -483.6
DOS at the Fermi energy, states/eV/cell: 7.292
Symmetry: No. 71

a = 7.324 Å, b = 7.324 Å, c = 7.324 Å
α = 148.90°, β = 114.12°, γ = 74.64°
Element x y z (fractional)
Mn: 0.000 0.000 0.000
Nb: 0.337 0.337 0.000
Nb: 0.663 0.663 0.000
Pt: 0.094 0.838 0.256
Pt: 0.171 0.671 0.500
Pt: 0.259 0.500 0.759
Pt: 0.417 0.162 0.256
Pt: 0.583 0.838 0.744
Pt: 0.741 0.500 0.241
Pt: 0.829 0.329 0.500
Pt: 0.906 0.162 0.744

[13]
A plane-wave DFT calculation with PBE was carried out for an optimized crystal structure of MnNb3Pt.

Properties
Total energy, hartree per atom: -0.3131
ΔH_f (0 K), meV per atom: 564.0
DOS at the Fermi energy, states/eV/cell: 6.212
Symmetry: No. 221

a = 4.529 Å, b = 4.529 Å, c = 4.529 Å
α = 90.00°, β = 90.00°, γ = 90.00°
Element x y z (fractional)
Mn: 0.000 0.000 0.000
Nb: 0.000 0.000 0.500
Nb: 0.000 0.500 0.000
Nb: 0.500 0.000 0.000
Pt: 0.500 0.500 0.500

[14]
A plane-wave DFT calculation with PBE was carried out for an optimized crystal structure of MnNbPt3.

Properties
Total energy, hartree per atom: -0.2693
ΔH_f (0 K), meV per atom: 145.3
Offset from the most stable computed form, meV/atom: 376
DOS at the Fermi energy, states/eV/cell: 4.314
Symmetry: No. 166

a = 5.239 Å, b = 5.239 Å, c = 5.239 Å
α = 62.03°, β = 62.03°, γ = 62.03°
Element x y z (fractional)
Mn: 0.000 0.000 0.000
Nb: 0.500 0.500 0.500
Pt: 0.000 0.000 0.500
Pt: 0.000 0.500 0.000
Pt: 0.500 0.000 0.000

[15]
A plane-wave DFT calculation with PBE was carried out for an optimized crystal structure of MnNbPt.

Properties
Total energy, hartree per atom: -0.3162
ΔH_f (0 K), meV per atom: -177.4
Offset from the most stable computed form, meV/atom: 19
DOS at the Fermi energy, states/eV/cell: 5.818
Symmetry: No. 139

a = 6.520 Å, b = 6.520 Å, c = 6.520 Å
α = 144.15°, β = 144.15°, γ = 51.61°
Element x y z (fractional)
Mn: 0.000 0.500 0.500
Mn: 0.500 0.000 0.500
Nb: 0.147 0.147 0.000
Nb: 0.853 0.853 0.000
Pt: 0.365 0.365 0.000
Pt: 0.635 0.635 0.000

[16]
A plane-wave DFT calculation with PBE was carried out for an optimized crystal structure of MnNb2Pt3.

Properties
Total energy, hartree per atom: -0.3096
ΔH_f (0 K), meV per atom: -518.2
DOS at the Fermi energy, states/eV/cell: 4.850
Symmetry: No. 65

a = 6.232 Å, b = 6.232 Å, c = 4.057 Å
α = 90.00°, β = 90.00°, γ = 143.30°
Element x y z (fractional)
Mn: 0.000 0.000 0.000
Nb: 0.338 0.662 0.000
Nb: 0.662 0.338 0.000
Pt: 0.165 0.835 0.500
Pt: 0.500 0.500 0.500
Pt: 0.835 0.165 0.500

[17]
A plane-wave DFT calculation with PBE was carried out for an optimized crystal structure of MnNb2Pt9.

Properties
Total energy, hartree per atom: -0.2768
ΔH_f (0 K), meV per atom: -559.6
DOS at the Fermi energy, states/eV/cell: 4.045
Symmetry: No. 123

a = 3.996 Å, b = 3.996 Å, c = 11.892 Å
α = 90.00°, β = 90.00°, γ = 90.00°
Element x y z (fractional)
Mn: 0.000 0.000 0.000
Nb: 0.000 0.000 0.326
Nb: 0.000 0.000 0.674
Pt: 0.000 0.500 0.168
Pt: 0.000 0.500 0.500
Pt: 0.000 0.500 0.832
Pt: 0.500 0.000 0.168
Pt: 0.500 0.000 0.500
Pt: 0.500 0.000 0.832
Pt: 0.500 0.500 0.000
Pt: 0.500 0.500 0.335
Pt: 0.500 0.500 0.665

[18]
A plane-wave DFT calculation with PBE was carried out for an optimized crystal structure of MnNbPt3.

Properties
Total energy, hartree per atom: -0.2427
ΔH_f (0 K), meV per atom: 866.8
Offset from the most stable computed form, meV/atom: 1098
DOS at the Fermi energy, states/eV/cell: 7.569
Symmetry: No. 221

a = 4.587 Å, b = 4.587 Å, c = 4.587 Å
α = 90.00°, β = 90.00°, γ = 90.00°
Element x y z (fractional)
Mn: 0.000 0.000 0.000
Nb: 0.500 0.500 0.500
Pt: 0.000 0.000 0.500
Pt: 0.000 0.500 0.000
Pt: 0.500 0.000 0.000

[19]
A plane-wave DFT calculation with PBE was carried out for an optimized crystal structure of Mn2NbPt.

Properties
Total energy, hartree per atom: -0.3262
ΔH_f (0 K), meV per atom: -264.0
DOS at the Fermi energy, states/eV/cell: 2.066
Symmetry: No. 225

a = 4.366 Å, b = 4.366 Å, c = 4.366 Å
α = 60.00°, β = 60.00°, γ = 60.00°
Element x y z (fractional)
Mn: 0.250 0.250 0.250
Mn: 0.750 0.750 0.750
Nb: 0.000 0.000 0.000
Pt: 0.500 0.500 0.500

[20]
A plane-wave DFT calculation with PBE was carried out for an optimized crystal structure of Mn2NbPt.

Properties
Total energy, hartree per atom: -0.3061
ΔH_f (0 K), meV per atom: 281.9
DOS at the Fermi energy, states/eV/cell: 9.991
Symmetry: No. 122

a = 9.424 Å, b = 9.424 Å, c = 9.424 Å
α = 156.55°, β = 156.55°, γ = 33.40°
Element x y z (fractional)
Mn: 0.123 0.625 0.998
Mn: 0.375 0.373 0.498
Mn: 0.627 0.125 0.002
Mn: 0.875 0.877 0.502
Nb: 0.250 0.750 0.500
Nb: 0.500 0.500 0.000
Pt: 0.000 0.000 0.000
Pt: 0.750 0.250 0.500

[21]
A plane-wave DFT calculation with PBE was carried out for an optimized crystal structure of MnNbPt.

Properties
Total energy, hartree per atom: -0.3169
ΔH_f (0 K), meV per atom: -196.3
Offset from the most stable computed form, meV/atom: 0
DOS at the Fermi energy, states/eV/cell: 3.366
Symmetry: No. 156

a = 4.438 Å, b = 4.438 Å, c = 2.757 Å
α = 90.00°, β = 90.00°, γ = 120.00°
Element x y z (fractional)
Mn: 0.000 0.000 0.000
Nb: 0.667 0.333 0.679
Pt: 0.333 0.667 0.279

[22]
A plane-wave DFT calculation with PBE was carried out for an optimized crystal structure of MnNb6Pt.

Properties
Total energy, hartree per atom: -0.3526
ΔH_f (0 K), meV per atom: -140.1
DOS at the Fermi energy, states/eV/cell: 7.408
Symmetry: No. 139

a = 7.180 Å, b = 7.180 Å, c = 7.180 Å
α = 142.31°, β = 142.31°, γ = 54.36°
Element x y z (fractional)
Mn: 0.000 0.000 0.000
Nb: 0.122 0.622 0.500
Nb: 0.247 0.247 0.000
Nb: 0.378 0.878 0.500
Nb: 0.622 0.122 0.500
Nb: 0.753 0.753 0.000
Nb: 0.878 0.378 0.500
Pt: 0.500 0.500 0.000

[23]
A plane-wave DFT calculation with PBE was carried out for an optimized crystal structure of Mn2NbRePt.

Properties
Total energy, hartree per atom: -0.2928
ΔH_f (0 K), meV per atom: 1412.0
DOS at the Fermi energy, states/eV/cell: 6.645
Symmetry: No. 123

a = 4.347 Å, b = 4.347 Å, c = 4.853 Å
α = 90.00°, β = 90.00°, γ = 90.00°
Element x y z (fractional)
Mn: 0.000 0.500 0.000
Mn: 0.500 0.000 0.000
Nb: 0.000 0.000 0.500
Re: 0.500 0.500 0.000
Pt: 0.500 0.500 0.500

[24]
A plane-wave DFT calculation with PBE was carried out for an optimized crystal structure of Mn2NbPtRh.

Properties
Total energy, hartree per atom: -0.2614
ΔH_f (0 K), meV per atom: 1246.3
DOS at the Fermi energy, states/eV/cell: 3.469
Symmetry: No. 123

a = 4.585 Å, b = 4.585 Å, c = 4.611 Å
α = 90.00°, β = 90.00°, γ = 90.00°
Element x y z (fractional)
Mn: 0.000 0.500 0.000
Mn: 0.500 0.000 0.000
Nb: 0.000 0.000 0.000
Pt: 0.500 0.500 0.500
Rh: 0.000 0.000 0.500

[25]
A plane-wave DFT calculation with PBE was carried out for an optimized crystal structure of TaMnNbPt.

Properties
Total energy, hartree per atom: -0.3489
ΔH_f (0 K), meV per atom: -211.7
DOS at the Fermi energy, states/eV/cell: 4.287
Symmetry: No. 216

a = 4.500 Å, b = 4.500 Å, c = 4.500 Å
α = 60.00°, β = 60.00°, γ = 60.00°
Element x y z (fractional)
Ta: 0.000 0.000 0.000
Mn: 0.500 0.500 0.500
Nb: 0.250 0.250 0.250
Pt: 0.750 0.750 0.750

[26]
A plane-wave DFT calculation with PBE was carried out for an optimized crystal structure of MnNbVPt.

Properties
Total energy, hartree per atom: -0.3250
ΔH_f (0 K), meV per atom: -244.3
DOS at the Fermi energy, states/eV/cell: 4.579
Symmetry: No. 216

a = 4.378 Å, b = 4.378 Å, c = 4.378 Å
α = 60.00°, β = 60.00°, γ = 60.00°
Element x y z (fractional)
Mn: 0.000 0.000 0.000
Nb: 0.250 0.250 0.250
V: 0.500 0.500 0.500
Pt: 0.750 0.750 0.750

[27]
A plane-wave DFT calculation with PBE was carried out for an optimized crystal structure of YMn2NbPt.

Properties
Total energy, hartree per atom: -0.2218
ΔH_f (0 K), meV per atom: 2147.1
DOS at the Fermi energy, states/eV/cell: 8.791
Symmetry: No. 123

a = 4.409 Å, b = 4.409 Å, c = 4.860 Å
α = 90.00°, β = 90.00°, γ = 90.00°
Element x y z (fractional)
Y: 0.000 0.000 0.000
Mn: 0.000 0.500 0.000
Mn: 0.500 0.000 0.000
Nb: 0.000 0.000 0.500
Pt: 0.500 0.500 0.500